## CrCoPd (PBE-GGA)

Data for crystalline CrCoPd at its relaxed geometry.

Cell: 2.5325 4.1995 4.1995 Å, 120.00 90.00 90.00°
Last column: nearest neighbours and their distance in Å.
Sites, in units of the cell vectors:
Cr: 0.6666 0.6667 0.3333  2 Cr 2.53, 6 Co 2.73-2.74, 6 Pd 2.74
Co: 0.1670 0.3333 0.6667  3 Pd 2.42, 2 Co 2.53
Pd: 0.1664 0.0000 0.0000  3 Co 2.42, 2 Pd 2.53

- Space-group type: P-6m2
- ΔH_f (0 K): 308 meV per atom
- Theoretical density: 9.33 Mg/m³
- Final energy: -6.999 eV per atom
- ΔE to the lowest computed polymorph: 201.2 meV/atom